Here is a geometry-optimized CoTcO2 structure from Alexandria. Energies are from GGA+U.

a b c (Å): 5.5101 5.5101 5.5101
angles (deg): 129.22 129.22 74.66
With the nearest neighbours (Å) after each atom.
Positions (direct):
Co1 0.0000 0.0000 0.0000  4 O 1.96
Co2 0.7500 0.2500 0.5000  4 O 1.96
Tc1 0.2500 0.7500 0.5000  4 O 2.04
Tc2 0.5000 0.5000 0.0000  4 O 2.04
O1 0.1115 0.6250 0.9865  2 Co 1.96, 2 Tc 2.04
O2 0.3750 0.3615 0.4865  2 Co 1.96, 2 Tc 2.04
O3 0.6385 0.1250 0.0135  2 Co 1.96, 2 Tc 2.04
O4 0.8750 0.8885 0.5135  2 Co 1.96, 2 Tc 2.04

Results
* size of the total moment: 2.63 μB per cell
* crystal system: tetragonal
* energy relative to the lowest polymorph listed for this composition: 226 meV per atom
* E_tot: -6.87 eV/atom